A relaxed PmVBi2O8 crystal, computed with PBE+U.

The space-group type is No. 164. The value obtained for the total DFT energy (no corrections) is -6.28 eV/atom. The volume comes out at 13.22 Å³/atom.

a b c (Å): 5.2679 5.2679 6.6010
angles (deg): 90.00 90.00 120.00
Fractional coordinates of all 12 atoms:
1 O 0.8385 0.1615 0.8256
2 O 0.6771 0.8385 0.1744
3 O 0.6667 0.3333 0.4547
4 O 0.1615 0.3229 0.1744
5 O 0.8385 0.6771 0.8256
6 O 0.3333 0.6667 0.5453
7 O 0.1615 0.8385 0.1744
8 O 0.3229 0.1615 0.8256
9 V 0.0000 0.0000 0.0000
10 Pm 0.0000 0.0000 0.5000
11 Bi 0.3333 0.6667 0.8527
12 Bi 0.6667 0.3333 0.1473